# PBE Ac4CdHgAu2, optimized geometry
# Energy of formation from the pure elements: -0.562 eV per atom
# Energy: -0.264 Ry/atom
# Fermi-level density of states: 16.0 states/eV/cell
data_Ac4CdHgAu2
_chemical_formula_sum 'Ac12 Cd3 Hg3 Au6'
_cell_length_a 5.6206
_cell_length_b 5.6206
_cell_length_c 27.7327
_cell_angle_alpha 90.00
_cell_angle_beta 90.00
_cell_angle_gamma 120.00
_symmetry_space_group_name_H-M 'R -3 m'
_symmetry_Int_Tables_number 166
_symmetry_space_group_name_Hall '-R 3 2"'
loop_
_atom_site_label
_atom_site_type_symbol
_atom_site_fract_x
_atom_site_fract_y
_atom_site_fract_z
Ac1 Ac 0.0000 0.0000 0.1238
Ac2 Ac 0.0000 0.0000 0.3743
Cd1 Cd 0.0000 0.0000 0.5000
Hg1 Hg 0.0000 0.0000 0.0000
Au1 Au 0.0000 0.0000 0.2462

***

# PBE Ac4CdHg2Au, optimized geometry
# Energy of formation from the pure elements: -0.509 eV per atom
# Energy: -0.232 Ry/atom
# Fermi-level density of states: 22.0 states/eV/cell
data_Ac4CdHg2Au
_chemical_formula_sum 'Ac12 Cd3 Hg6 Au3'
_cell_length_a 5.6860
_cell_length_b 5.6860
_cell_length_c 27.7626
_cell_angle_alpha 90.00
_cell_angle_beta 90.00
_cell_angle_gamma 120.00
_symmetry_space_group_name_H-M 'R -3 m'
_symmetry_Int_Tables_number 166
_symmetry_space_group_name_Hall '-R 3 2"'
loop_
_atom_site_label
_atom_site_type_symbol
_atom_site_fract_x
_atom_site_fract_y
_atom_site_fract_z
Ac1 Ac 0.0000 0.0000 0.1198
Ac2 Ac 0.0000 0.0000 0.3707
Cd1 Cd 0.0000 0.0000 0.5000
Hg1 Hg 0.0000 0.0000 0.2439
Au1 Au 0.0000 0.0000 0.0000

***

# PBE AcCd2HgAu4, optimized geometry
# Energy of formation from the pure elements: -0.355 eV per atom
# Energy: -0.204 Ry/atom
# Fermi-level density of states: 8.4 states/eV/cell
data_AcCd2HgAu4
_chemical_formula_sum 'Ac3 Cd6 Hg3 Au12'
_cell_length_a 4.7806
_cell_length_b 4.7806
_cell_length_c 28.2353
_cell_angle_alpha 90.00
_cell_angle_beta 90.00
_cell_angle_gamma 120.00
_symmetry_space_group_name_H-M 'R -3 m'
_symmetry_Int_Tables_number 166
_symmetry_space_group_name_Hall '-R 3 2"'
loop_
_atom_site_label
_atom_site_type_symbol
_atom_site_fract_x
_atom_site_fract_y
_atom_site_fract_z
Ac1 Ac 0.0000 0.0000 0.0000
Cd1 Cd 0.0000 0.0000 0.2399
Hg1 Hg 0.0000 0.0000 0.5000
Au1 Au 0.0000 0.0000 0.1229
Au2 Au 0.0000 0.0000 0.3946

***

# PBE AcCdHgAu, optimized geometry
# Energy of formation from the pure elements: -0.502 eV per atom
# Energy: -0.195 Ry/atom
# Fermi-level density of states: 14.6 states/eV/cell
data_AcCdHgAu
_chemical_formula_sum 'Ac4 Cd4 Hg4 Au4'
_cell_length_a 7.5079
_cell_length_b 7.5079
_cell_length_c 7.5079
_cell_angle_alpha 90.00
_cell_angle_beta 90.00
_cell_angle_gamma 90.00
_symmetry_space_group_name_H-M 'F -4 3 m'
_symmetry_Int_Tables_number 216
_symmetry_space_group_name_Hall 'F -4 2 3'
loop_
_atom_site_label
_atom_site_type_symbol
_atom_site_fract_x
_atom_site_fract_y
_atom_site_fract_z
Ac1 Ac 0.0000 0.0000 0.0000
Cd1 Cd 0.0000 0.0000 0.5000
Hg1 Hg 0.2500 0.2500 0.2500
Au1 Au 0.2500 0.2500 0.7500

***

# PBE AcHoCdAu, optimized geometry
# Energy of formation from the pure elements: -0.477 eV per atom
# Energy: -0.272 Ry/atom
# Fermi-level density of states: 7.4 states/eV/cell
data_AcHoCdAu
_chemical_formula_sum 'Ac4 Ho4 Cd4 Au4'
_cell_length_a 7.6686
_cell_length_b 7.6686
_cell_length_c 7.6686
_cell_angle_alpha 90.00
_cell_angle_beta 90.00
_cell_angle_gamma 90.00
_symmetry_space_group_name_H-M 'F -4 3 m'
_symmetry_Int_Tables_number 216
_symmetry_space_group_name_Hall 'F -4 2 3'
loop_
_atom_site_label
_atom_site_type_symbol
_atom_site_fract_x
_atom_site_fract_y
_atom_site_fract_z
Ac1 Ac 0.0000 0.0000 0.0000
Ho1 Ho 0.0000 0.0000 0.5000
Cd1 Cd 0.2500 0.2500 0.7500
Au1 Au 0.2500 0.2500 0.2500

***

# PBE Ac2Cd3InAu4, optimized geometry
# Energy of formation from the pure elements: -0.494 eV per atom
# Energy: -0.233 Ry/atom
# Fermi-level density of states: 3.9 states/eV/cell
data_Ac2Cd3InAu4
_chemical_formula_sum 'Ac2 Cd3 In1 Au4'
_cell_length_a 4.5433
_cell_length_b 4.5433
_cell_length_c 12.3183
_cell_angle_alpha 90.00
_cell_angle_beta 90.00
_cell_angle_gamma 90.00
_symmetry_space_group_name_H-M 'P -4 m 2'
_symmetry_Int_Tables_number 115
loop_
_symmetry_equiv_pos_as_xyz
'x,y,z'
'y,-x,-z'
'-x,-y,z'
'-y,x,-z'
'-x,y,z'
'-y,-x,-z'
'x,-y,z'
'y,x,-z'
loop_
_atom_site_label
_atom_site_type_symbol
_atom_site_fract_x
_atom_site_fract_y
_atom_site_fract_z
Ac1 Ac 0.0000 0.5000 0.2464
Cd1 Cd 0.0000 0.5000 0.8687
Cd2 Cd 0.5000 0.5000 0.5000
In1 In 0.0000 0.0000 0.5000
Au1 Au 0.0000 0.0000 0.0000
Au2 Au 0.0000 0.5000 0.6460
Au3 Au 0.5000 0.5000 0.0000